Density functional theory data (PBE-GGA) for Nb2Pt after structural relaxation.

Properties
E = -8.76 eV/atom
Total moment = 0.00 μB/cell
Mass density = 12.018 g cm⁻³
Volume = 17.54 A^3/atom
Formation energy = -0.0084 eV per atom

a b c (Å): 5.2997 5.2997 5.2997
angles (deg): 60.00 60.00 60.00
Fractional coordinates of all 6 atoms:
Nb 0.0000 0.0000 0.0000
Nb 0.0000 0.0000 0.5000
Nb 0.0000 0.5000 0.0000
Nb 0.5000 0.0000 0.0000
Pt 0.3750 0.3750 0.3750
Pt 0.6250 0.6250 0.6250